K2TlMoO6: optimized geometry, PBE with a Hubbard U.

Lattice parameters (Å, degrees): 5.9503 5.9503 5.9503 60.00 60.00 60.00
Last column: nearest neighbours and their distance in Å.
Fractional coordinates of all 10 atoms:
1 K 0.2500 0.2500 0.2500  12 O 2.97-2.99
2 K 0.7500 0.7500 0.7500  12 O 2.97-2.99
3 Tl 0.0000 0.0000 0.0000  6 O 2.27
4 Mo 0.5000 0.5000 0.5000  6 O 1.94
5 O 0.2688 0.2708 0.7302  1 Mo 1.94
6 O 0.2698 0.7312 0.7292  1 Mo 1.94
7 O 0.2708 0.7302 0.2688  1 Mo 1.94
8 O 0.7292 0.2698 0.7312  1 Mo 1.94
9 O 0.7302 0.2688 0.2708  1 Mo 1.94
10 O 0.7312 0.7292 0.2698  1 Mo 1.94

Calculated values
The final energy comes out at -5.41 eV/atom. Its space-group type is R-3, No. 148.